No. 1
Compound: U3Se5Cl
Source: Alexandria
Functional: PBE
Structure: optimized geometry

Summary:
uncorrected formation energy: -1.07 eV per atom
N(E_F): 20.8 states/eV/f.u.
uncorrected energy: -6.9702 eV per atom
space group: C2/m (12)

abc: 7.9554 7.9554 10.3448
angles: 71.77 71.77 72.62
Closest atoms and distances in Å follow each position.
Atoms (fractional coordinates):
Se 0.3039 0.6961 0.0000  3 U 2.83-2.86
Se 0.0270 0.6361 0.6652  3 U 2.84-2.87
Se 0.6961 0.3039 0.0000  3 U 2.83-2.86
Se 0.2307 0.2307 0.9644  3 U 2.83-2.86
Se 0.6361 0.0270 0.6652  3 U 2.84-2.87
Se 0.5691 0.5691 0.6280  3 U 2.79-2.87
Se 0.9730 0.3639 0.3348  3 U 2.84-2.87
Se 0.4309 0.4309 0.3720  3 U 2.79-2.87
Se 0.3639 0.9730 0.3348  3 U 2.84-2.87
Se 0.7693 0.7693 0.0356  3 U 2.83-2.86
U 0.0000 0.0000 0.5000  4 Se 2.85, 2 Cl 2.87
U 0.6660 0.6660 0.8354  6 Se 2.83-2.87
U 0.3340 0.3340 0.1646  6 Se 2.83-2.87
U 0.6588 0.6588 0.3322  5 Se 2.79-2.87, 1 Cl 2.95
U 0.0000 0.0000 0.0000  4 Se 2.83-2.86, 2 Cl 2.84
U 0.3412 0.3412 0.6678  5 Se 2.79-2.87, 1 Cl 2.95
Cl 0.8982 0.8982 0.2974  3 U 2.84-2.95
Cl 0.1018 0.1018 0.7026  3 U 2.84-2.95

No. 2
Compound: Th2Al4NiPd3
Source: Alexandria
Functional: PBE
Structure: optimized geometry

Summary:
N(E_F): 11.9 states/eV/f.u.
formation energy from the elements: -0.764 eV/atom
uncorrected energy: -5.8808 eV per atom
space group: P-4m2 (115)

abc: 4.3279 4.3279 10.1072
angles: 90.00 90.00 90.00
Closest atoms and distances in Å follow each position.
Atoms (fractional coordinates):
Th 0.0000 0.5000 0.7386  2 Ni 3.24, 6 Pd 3.24-3.32, 8 Al 3.28-3.41
Th 0.5000 0.0000 0.2614  2 Ni 3.24, 6 Pd 3.24-3.32, 8 Al 3.28-3.41
Al 0.5000 0.0000 0.6208  2 Ni 2.48, 3 Pd 2.48-2.49
Al 0.0000 0.5000 0.3792  2 Ni 2.48, 3 Pd 2.48-2.49
Al 0.5000 0.5000 0.0000  4 Pd 2.55
Al 0.0000 0.0000 0.0000  4 Pd 2.55
Pd 0.0000 0.5000 0.1329  5 Al 2.49-2.55
Pd 0.5000 0.0000 0.8671  5 Al 2.49-2.55
Pd 0.0000 0.0000 0.5000  4 Al 2.48
Ni 0.5000 0.5000 0.5000  4 Al 2.48